Record 1
Material: CoP2Au
Method: DFT, PBE
State: optimized geometry

abc: 4.381 4.381 4.381
angles: 60.00 60.00 60.00
Each line ends with the local moment (μB).
Element x y z (fractional)
Co1 0.250 0.250 0.250  1.41
P1 0.000 0.000 0.000  -0.01
P2 0.750 0.750 0.750  0.01
Au1 0.500 0.500 0.500  0.03

Calculated values
SG: F-43m, No. 216
Energy above the lowest structure with this stoichiometry: 808 meV/atom
Calculated volume: 14.9 A^3/atom
Energy: -4.66 eV/atom
ΔE_f: 0.644 eV/atom

Record 2
Material: CoPAu3
Method: DFT, PBE
State: optimized geometry

abc: 4.666 4.666 4.666
angles: 90.00 90.00 90.00
Each line ends with the local moment (μB).
Element x y z (fractional)
Co1 0.500 0.500 0.500  1.88
Au1 0.000 0.500 0.000  -0.03
Au2 0.000 0.000 0.500  -0.05
Au3 0.500 0.000 0.000  -0.01
P1 0.000 0.000 0.000  0.00

Calculated values
SG: Pm-3m, No. 221
Energy above the lowest structure with this stoichiometry: 0 meV/atom
Calculated volume: 20.3 A^3/atom
Energy: -3.74 eV/atom
ΔE_f: 0.727 eV/atom

Record 3
Material: Co2PAu
Method: DFT, PBE
State: optimized geometry

abc: 6.768 6.768 6.768
angles: 153.98 156.29 35.48
Each line ends with the local moment (μB).
Element x y z (fractional)
Au1 0.304 0.804 0.500  0.01
Co1 0.983 0.983 0.000  0.00
Co2 0.664 0.164 0.500  0.15
P1 0.549 0.549 0.000  -0.01

Calculated values
SG: Imm2, No. 44
Energy above the lowest structure with this stoichiometry: 80 meV/atom
Calculated volume: 13.7 A^3/atom
Energy: -5.78 eV/atom
ΔE_f: -0.058 eV/atom

Record 4
Material: CoP2Au
Method: DFT, PBE
State: optimized geometry

abc: 2.827 2.827 7.629
angles: 90.00 90.00 90.00
Element x y z (fractional)
Au1 0.000 0.000 0.493
Co1 0.500 0.500 0.954
P1 0.000 0.000 0.813
P2 0.500 0.500 0.240

Calculated values
SG: P4mm, No. 99
Energy above the lowest structure with this stoichiometry: 206 meV/atom
Calculated volume: 15.2 A^3/atom
Energy: -5.26 eV/atom
ΔE_f: 0.043 eV/atom

Record 5
Material: Co2PAu
Method: DFT, PBE
State: optimized geometry

abc: 3.867 2.796 5.226
angles: 90.07 90.00 90.00
Each line ends with the local moment (μB).
Element x y z (fractional)
Au1 0.500 0.501 0.759  0.03
Co1 0.000 0.999 0.081  1.32
Co2 0.500 0.500 0.240  0.97
P1 0.000 0.500 0.420  -0.02

Calculated values
SG: Pmm2, No. 25
Energy above the lowest structure with this stoichiometry: 207 meV/atom
Calculated volume: 14.1 A^3/atom
Energy: -5.66 eV/atom
ΔE_f: 0.069 eV/atom

Record 6
Material: CoP3Au
Method: DFT, PBE
State: optimized geometry

abc: 4.368 4.368 4.368
angles: 90.00 90.00 90.00
Element x y z (fractional)
Co1 0.000 0.000 0.000
Au1 0.500 0.500 0.500
P1 0.000 0.500 0.000
P2 0.000 0.000 0.500
P3 0.500 0.000 0.000

Calculated values
SG: Pm-3m, No. 221
Energy above the lowest structure with this stoichiometry: 0 meV/atom
Calculated volume: 16.7 A^3/atom
Energy: -4.74 eV/atom
ΔE_f: 0.586 eV/atom

Record 7
Material: CoPAu2
Method: DFT, PBE
State: optimized geometry

abc: 8.390 8.390 8.390
angles: 20.34 20.34 20.34
Each line ends with the local moment (μB).
Element x y z (fractional)
Au1 0.006 0.006 0.006  0.01
Au2 0.240 0.240 0.240  0.00
Co1 0.487 0.487 0.487  0.46
P1 0.767 0.767 0.767  -0.01

Calculated values
SG: R3m, No. 160
Energy above the lowest structure with this stoichiometry: 24 meV/atom
Calculated volume: 15.6 A^3/atom
Energy: -4.73 eV/atom
ΔE_f: 0.042 eV/atom

Record 8
Material: CoPAu2
Method: DFT, PBE
State: optimized geometry

abc: 5.264 5.264 5.264
angles: 142.54 133.60 61.09
Element x y z (fractional)
Au1 0.005 0.005 0.000
Au2 0.718 0.218 0.500
Co1 0.459 0.459 0.000
P1 0.318 0.818 0.500

Calculated values
SG: Imm2, No. 44
Energy above the lowest structure with this stoichiometry: 131 meV/atom
Calculated volume: 15.9 A^3/atom
Energy: -4.62 eV/atom
ΔE_f: 0.149 eV/atom